# LiTbMg4, optimized geometry, DFT GGA-PBE
data_LiTbMg4
_cell_length_a 3.428
_cell_length_b 3.428
_cell_length_c 11.957
_cell_angle_alpha 90.00
_cell_angle_beta 90.00
_cell_angle_gamma 90.00
_symmetry_space_group_name_H-M 'P 1'
_symmetry_Int_Tables_number 1
_symmetry_space_group_name_Hall 'P 1'
loop_
_atom_site_label
_atom_site_type_symbol
_atom_site_fract_x
_atom_site_fract_y
_atom_site_fract_z
_atom_site_occupancy
Li1 Li 0.000 0.000 0.000 1
Tb1 Tb 0.500 0.500 0.500 1
Mg1 Mg 0.000 0.000 0.305 1
Mg2 Mg 0.000 0.000 0.695 1
Mg3 Mg 0.500 0.500 0.142 1
Mg4 Mg 0.500 0.500 0.858 1
# Volume   140.5 Å³ per cell
# ΔE_f   -0.060 eV per atom
# Fermi-level density of states   2.45 states/eV/cell
# Space-group type   P4/mmm